{"formula": "Sr2CuAg", "functional": "PBEsol", "state": "relaxed", "total_magnetization_mub_per_atom": 0.00, "crystal_system": "orthorhombic", "e_form_ev_per_atom": -0.139, "energy_ev_per_atom": -2.9705, "sg": "No. 38", "cell": [[4.370, 0.000, 0.000], [0.000, 4.515, 0.000], [-2.185, 0.000, 5.794]], "species": ["Sr", "Sr", "Ag", "Cu"], "fractional_positions": [[0.984, 0.500, 0.969], [0.266, 0.000, 0.531], [0.563, 0.000, 0.127], [0.687, 0.500, 0.373]]}